# Sc3TlH

Crystalline Sc3TlH at its relaxed geometry (PBE-GGA, Alexandria).

Lattice parameters (Å, degrees): 8.154 8.154 8.154 40.85 40.85 40.85
Element x y z (fractional)
H  0.166  0.166  0.166
H  0.834  0.834  0.834
Sc  0.550  0.890  0.225
Sc  0.450  0.110  0.775
Sc  0.110  0.775  0.450
Sc  0.775  0.450  0.110
Tl  0.333  0.333  0.333
Sc  0.225  0.550  0.890
Tl  0.667  0.667  0.667
Sc  0.890  0.225  0.550

Results
Total DFT energy (no corrections)   -5.10 eV/atom
Density of states at the Fermi level   1.280 states/eV per atom